(1)
MnMo2W: optimized geometry, GGA-PBE.

abc: 2.7477 2.7477 27.5482
angles: 90.00 90.00 120.00
With the nearest neighbours (Å) after each atom.
Space group R-3m (No. 166, hexagonal axes)
Asymmetric unit:
Mn  0.0000  0.0000  0.0000 x3  6 Mo 2.64, 6 Mn 2.75
Mo  0.0000  0.0000  0.2569 x6  3 Mn 2.64, 6 Mo 2.75, 3 W 2.95
W  0.0000  0.0000  0.5000 x3  6 W 2.75, 6 Mo 2.95

**Total energy**: -126.8 eV for the cell shown
**Crystal system**: trigonal
**Spin magnetization**: 0.00 μB/f.u.
**Energy above the lowest structure with this stoichiometry**: 327 meV/atom



(2)
K2InBi: optimized geometry, GGA-PBE.

abc: 5.1248 5.1248 5.4482
angles: 90.00 90.00 90.00
With the nearest neighbours (Å) after each atom.
Space group P4/mmm (No. 123)
Asymmetric unit:
K  0.0000  0.5000  0.0000 x2  4 K 3.62, 4 In 3.74, 4 Bi 3.74
In  0.0000  0.0000  0.5000 x1  4 Bi 3.62, 8 K 3.74
Bi  0.5000  0.5000  0.5000 x1  4 In 3.62, 8 K 3.74

**Total energy**: -9.3 eV for the cell shown
**Crystal system**: tetragonal
**Spin magnetization**: 0.13 μB/f.u.



Number 2 is which compound? K2InBi



Look up the spin magnetization of the first one. 0.00 μB/f.u.



Which of these has the highest spin magnetization? K2InBi